Record 1
Here is a geometry-optimized VGa3Ni6 structure from the Alexandria database. Energies are from PBE-GGA.

Calculated values
Space group: No. 11
Magnetization in μB per cell: 2.5
Calculated formation energy in eV per atom: -0.2691
ρ in g/cm3: 8.43
Calculated volume in Å³ per cell: 241

Cell: 4.1783 6.8940 9.1238 Å, 113.38 90.00 90.00°
Last column: magnetic moment on the atom in μB.
Fractional coordinates of all 20 atoms:
Ga1 0.2500 0.7797 0.9749  0.00
Ga2 0.2500 0.3568 0.7803  0.00
Ga3 0.7500 0.4549 0.6274  0.00
Ga4 0.7500 0.2203 0.0251  0.00
Ga5 0.7500 0.6432 0.2197  0.00
Ga6 0.2500 0.5451 0.3726  0.00
V1 0.7500 0.0453 0.4203  0.86
V2 0.2500 0.9547 0.5797  0.86
Ni1 0.2500 0.8677 0.2779  0.09
Ni2 0.2500 0.1609 0.1779  0.01
Ni3 0.7500 0.5359 0.9255  0.03
Ni4 0.2500 0.4641 0.0745  0.03
Ni5 0.2500 0.0674 0.8727  0.04
Ni6 0.7500 0.1323 0.7221  0.09
Ni7 0.2500 0.6648 0.6729  0.05
Ni8 0.2500 0.2586 0.4784  0.08
Ni9 0.7500 0.7414 0.5216  0.08
Ni10 0.7500 0.8391 0.8221  0.01
Ni11 0.7500 0.3352 0.3271  0.05
Ni12 0.7500 0.9326 0.1273  0.04



Record 2
Here is a geometry-optimized Sm3MnN5 structure from the Alexandria database. Energies are from PBE-GGA.

Calculated values
Space group: No. 140
Formation energy from raw total energies in meV/atom: -1030
Magnetization in μB per cell: 0.6
ρ in g/cm3: 7.90
Calculated volume in Å³ per cell: 242

Cell: 6.6476 6.6476 7.2211 Å, 117.41 117.41 90.00°
Last column: magnetic moment on the atom in μB.
Fractional coordinates of all 18 atoms:
N1 0.7023 0.2023 0.6941  0.00
N2 0.5082 0.2977 0.3059  0.00
N3 0.0082 0.5082 0.3059  0.00
N4 0.0000 0.0000 0.0000  -0.01
N5 0.7977 0.0082 0.3059  0.00
N6 0.9918 0.4918 0.6941  0.00
N7 0.2977 0.7977 0.3059  0.00
N8 0.4918 0.7023 0.6941  0.00
N9 0.2023 0.9918 0.6941  0.00
N10 0.5000 0.5000 0.0000  -0.01
Sm1 0.2500 0.2500 0.5000  0.00
Sm2 0.1737 0.3263 0.0000  0.01
Sm3 0.6737 0.1737 0.0000  0.01
Sm4 0.7500 0.7500 0.5000  0.00
Sm5 0.8263 0.6737 0.0000  0.01
Sm6 0.3263 0.8263 0.0000  0.01
Mn1 0.7500 0.2500 0.5000  0.24
Mn2 0.2500 0.7500 0.5000  0.24



Record 3
Here is a geometry-optimized VH4Pd5 structure from the Alexandria database. Energies are from PBE-GGA.

Calculated values
Space group: No. 12
Magnetization in μB per cell: 0.8
E in eV/atom: -4.952
ρ in g/cm3: 9.77
Calculated volume in Å³ per cell: 100

Cell: 2.8476 5.7367 6.4328 Å, 102.95 102.77 90.03°
Last column: magnetic moment on the atom in μB.
Fractional coordinates of all 10 atoms:
Pd1 0.5000 0.5000 0.0000  0.00
Pd2 0.1632 0.3328 0.3277  0.03
Pd3 0.8367 0.1629 0.6744  0.03
Pd4 0.8368 0.6672 0.6723  0.03
Pd5 0.1633 0.8371 0.3256  0.03
H1 0.9947 0.2329 0.9880  0.00
H2 0.3213 0.8696 0.6405  0.00
H3 0.6787 0.1304 0.3595  0.00
H4 0.0053 0.7671 0.0120  0.00
V1 0.5000 0.0000 0.0000  0.67



> Which value of calculated volume does entry 1 give?

241 Å³ per cell